Record 1
Below is Tb2SnTe5 after structural relaxation, with properties calculated at the PBE level.

Lattice parameters (Å, degrees): 8.1429 8.1429 13.8831 90.00 90.00 134.90
Closest atoms and distances in Å follow each position.
Fractional positions:
Tb 0.1696 0.8304 0.5680  6 Te 3.03-3.13
Tb 0.1696 0.8304 0.9320  6 Te 3.03-3.13
Tb 0.8304 0.1696 0.0680  6 Te 3.03-3.13
Tb 0.8304 0.1696 0.4320  6 Te 3.03-3.13
Sn 0.1951 0.8049 0.2500  6 Te 2.98-3.22
Sn 0.8049 0.1951 0.7500  6 Te 2.98-3.22
Te 0.0325 0.9675 0.0988  1 Te 2.91, 2 Tb 3.07-3.10, 1 Sn 3.22
Te 0.0325 0.9675 0.4012  1 Te 2.91, 2 Tb 3.07-3.10, 1 Sn 3.22
Te 0.2802 0.7198 0.7500  2 Tb 3.03, 2 Sn 3.14
Te 0.3196 0.6804 0.0827  1 Sn 2.98, 3 Tb 3.08-3.13
Te 0.3196 0.6804 0.4173  1 Sn 2.98, 3 Tb 3.08-3.13
Te 0.6804 0.3196 0.5827  1 Sn 2.98, 3 Tb 3.08-3.13
Te 0.6804 0.3196 0.9173  1 Sn 2.98, 3 Tb 3.08-3.13
Te 0.7198 0.2802 0.2500  2 Tb 3.03, 2 Sn 3.14
Te 0.9675 0.0325 0.5988  1 Te 2.91, 2 Tb 3.07-3.10, 1 Sn 3.22
Te 0.9675 0.0325 0.9012  1 Te 2.91, 2 Tb 3.07-3.10, 1 Sn 3.22

Properties
Formation energy (no corrections), eV/atom: -0.853
Raw total energy, eV/f.u.: -35.79
Crystal system: orthorhombic

=====

Record 2
Below is Pm2CoBi after structural relaxation, with properties calculated at the PBE level.

Lattice parameters (Å, degrees): 3.4722 3.4722 8.5025 90.00 90.00 90.00
Closest atoms and distances in Å follow each position.
Fractional positions:
Pm 0.0000 0.0000 0.1988  4 Co 2.98
Pm 0.0000 0.0000 0.8012  4 Co 2.98
Co 0.5000 0.5000 0.0000  8 Pm 2.98
Bi 0.5000 0.5000 0.5000  4 Bi 3.47, 8 Pm 3.55

Properties
Relative energy among the computed polymorphs, meV per atom: 0.0
Raw total energy, eV/f.u.: -21.68
Energy of formation from the pure elements, eV per atom: -0.30
Crystal system: tetragonal

=====

Record 3
Below is CuSb2P after structural relaxation, with properties calculated at the PBE level.

Lattice parameters (Å, degrees): 3.8600 3.9893 5.4776 90.00 90.00 90.00
Closest atoms and distances in Å follow each position.
Fractional positions:
Cu 0.0000 0.0000 0.0000  6 Sb 2.74-2.78
Sb 0.0000 0.0000 0.5000  2 Cu 2.74, 4 P 2.78
Sb 0.5000 0.5000 0.0000  2 P 2.74, 4 Cu 2.78
P 0.5000 0.5000 0.5000  6 Sb 2.74-2.78

Properties
Formation energy (no corrections), eV/atom: 0.144
Raw total energy, eV/f.u.: -17.17
Crystal system: orthorhombic

=====

Record 4
Below is CaLa2NiSb after structural relaxation, with properties calculated at the PBE level.

Lattice parameters (Å, degrees): 5.2221 5.2221 5.4269 90.00 90.00 90.00
Closest atoms and distances in Å follow each position.
Fractional positions:
Ca 0.0000 0.0000 0.0000  2 Ni 2.71
La 0.0000 0.5000 0.5000  2 Ni 2.61
La 0.5000 0.0000 0.5000  2 Ni 2.61
Ni 0.0000 0.0000 0.5000  4 La 2.61, 2 Ca 2.71
Sb 0.5000 0.5000 0.0000  4 Ca 3.69, 8 La 3.77

Properties
Formation energy (no corrections), eV/atom: -0.506
Raw total energy, eV/f.u.: -24.29
Crystal system: tetragonal